1.
Here is crystalline KZn2BiCl8 at its relaxed geometry from Alexandria. Energies are from PBE.

Cell lengths 6.4935, 6.4935, 29.4636 Å; angles 90.00, 90.00, 120.00 degrees
Last column: nearest neighbours and their distance in Å.
Space group R-3 (No. 148, hexagonal axes)
Symmetry-distinct sites (fractional):
K: 0.0000 0.0000 0.0000 (multiplicity 3)  12 Cl 3.76-3.90
Zn: 0.0000 0.0000 0.2495 (multiplicity 6)  4 Cl 2.21-2.33
Bi: 0.0000 0.0000 0.5000 (multiplicity 3)  6 Cl 2.75
Cl: 0.0000 0.0000 0.3244 (multiplicity 6)  1 Zn 2.21
Cl: 0.0036 0.6782 0.8885 (multiplicity 18)  1 Zn 2.33

Computed properties:
final energy = -0.2251 Ry/atom
mass density = 3.07 g cm⁻³
formation energy from raw total energies = -14.45 eV per formula unit

2.
Here is crystalline LaBiCl2 at its relaxed geometry from Alexandria. Energies are from PBE.

Cell lengths 3.6783, 3.6783, 31.4959 Å; angles 90.00, 90.00, 120.00 degrees
Last column: nearest neighbours and their distance in Å.
Space group R-3m (No. 166, hexagonal axes)
Symmetry-distinct sites (fractional):
La: 0.0000 0.0000 0.0000 (multiplicity 3)  2 Cl 2.72
Bi: 0.0000 0.0000 0.5000 (multiplicity 3)  6 Cl 3.31, 6 Bi 3.68
Cl: 0.0000 0.0000 0.0862 (multiplicity 6)  1 La 2.72

Computed properties:
final energy = -0.2830 Ry/atom
E above lowest polymorph = 554 meV/atom
mass density = 5.65 g cm⁻³
formation energy from raw total energies = -2.90 eV per formula unit

3.
Here is crystalline LaBiCl2 at its relaxed geometry from Alexandria. Energies are from PBE.

Cell lengths 7.4792, 7.4792, 7.4792 Å; angles 90.00, 90.00, 90.00 degrees
Last column: nearest neighbours and their distance in Å.
Space group Fm-3m (No. 225)
Symmetry-distinct sites (fractional):
La: 0.0000 0.0000 0.0000 (multiplicity 4)  8 Cl 3.24
Bi: 0.0000 0.0000 0.5000 (multiplicity 4)  8 Cl 3.24
Cl: 0.2500 0.2500 0.2500 (multiplicity 8)  4 La 3.24, 4 Bi 3.24

Computed properties:
final energy = -0.3029 Ry/atom
E above lowest polymorph = 284 meV/atom
mass density = 6.65 g cm⁻³
formation energy from raw total energies = -3.98 eV per formula unit

4.
Here is crystalline La2BiCl at its relaxed geometry from Alexandria. Energies are from PBE.

Cell lengths 7.7775, 7.7775, 7.7775 Å; angles 90.00, 90.00, 90.00 degrees
Last column: nearest neighbours and their distance in Å.
Space group Fm-3m (No. 225)
Symmetry-distinct sites (fractional):
La: 0.2500 0.2500 0.2500 (multiplicity 8)  4 Bi 3.37, 4 Cl 3.37
Bi: 0.0000 0.0000 0.0000 (multiplicity 4)  8 La 3.37
Cl: 0.0000 0.0000 0.5000 (multiplicity 4)  8 La 3.37

Computed properties:
final energy = -0.3734 Ry/atom
E above lowest polymorph = 115 meV/atom
mass density = 7.37 g cm⁻³
formation energy from raw total energies = -4.74 eV per formula unit

5.
Here is crystalline LaBiCl2 at its relaxed geometry from Alexandria. Energies are from PBE.

Cell lengths 3.6787, 3.6787, 35.2046 Å; angles 90.00, 90.00, 120.00 degrees
Last column: nearest neighbours and their distance in Å.
Space group R-3m (No. 166, hexagonal axes)
Symmetry-distinct sites (fractional):
La: 0.0000 0.0000 0.0000 (multiplicity 3)  6 Cl 2.87
Bi: 0.0000 0.0000 0.5000 (multiplicity 3)  6 Bi 3.68, 2 Cl 3.94
Cl: 0.0000 0.0000 0.3880 (multiplicity 6)  3 La 2.87

Computed properties:
final energy = -0.3220 Ry/atom
E above lowest polymorph = 23 meV/atom
mass density = 5.06 g cm⁻³
formation energy from raw total energies = -5.02 eV per formula unit

6.
Here is crystalline LaBi2Cl at its relaxed geometry from Alexandria. Energies are from PBE.

Cell lengths 7.9204, 7.9204, 7.9204 Å; angles 90.00, 90.00, 90.00 degrees
Last column: nearest neighbours and their distance in Å.
Space group Fm-3m (No. 225)
Symmetry-distinct sites (fractional):
La: 0.0000 0.0000 0.0000 (multiplicity 4)  8 Bi 3.43
Bi: 0.2500 0.2500 0.2500 (multiplicity 8)  4 Cl 3.43, 4 La 3.43
Cl: 0.0000 0.0000 0.5000 (multiplicity 4)  8 Bi 3.43

Computed properties:
final energy = -0.2935 Ry/atom
mass density = 7.92 g cm⁻³
formation energy from raw total energies = -1.44 eV per formula unit